{
  "formula": "RbLiHf2Cl",
  "functional": "PBE-GGA",
  "state": "relaxed",
  "lattice_angstrom": [[4.836, 0.000, 0.000], [0.000, 4.836, 0.000], [0.000, 0.000, 6.103]],
  "species": ["Rb", "Li", "Hf", "Hf", "Cl"],
  "frac_coords": [[0.000, 0.000, 0.000], [0.500, 0.500, 0.000], [0.000, 0.500, 0.500], [0.500, 0.000, 0.500], [0.000, 0.000, 0.500]],
  "dos_at_fermi_per_ev_fu": 3.8,
  "magmom_total_mub_per_cell": 0.000,
  "space_group": "P4/mmm",
  "formation_energy_uncorrected_ev_per_atom": 0.54
}